21
Lattice="-4.2025 -2.0118 1.6519 5.0838 -4.8888 1.4484 1.5364 3.7611 7.0505" Properties=species:S:1:pos:R:3 comment="GGA-PBEsol KMo2P4O14, optimized geometry" e_tot_ev_per_atom=-7.8596 e_form_raw_ev_per_fu=-43.73 volume_a3_per_atom=13.30 pbc="T T T"
K 2.5419 -2.4444 0.7242
Mo 3.3101 -0.5638 4.2494
Mo -2.1012 -1.0059 0.8260
P 0.2189 -0.9045 3.1430
P 2.1989 -2.2348 7.0077
P 1.6896 2.2478 5.4473
P 0.7282 -5.3872 4.7034
O 0.3319 2.2794 6.1321
O 2.0859 -5.4188 4.0186
O 3.8520 -4.0739 2.2035
O -1.4342 0.9345 7.9473
O -0.0354 0.6854 2.9745
O 2.4533 -3.8248 7.1763
O 1.7310 -1.1573 3.0651
O 0.6868 -1.9821 7.0857
O -0.3763 -1.2247 4.4975
O 2.7941 -1.9147 5.6533
O 2.1074 0.8344 5.1231
O 0.3104 -3.9738 5.0276
O -0.4615 -1.6215 1.9611
O 2.8794 -1.5179 8.1897